Record 1
# CrSn3Hg

A crystal of CrSn3Hg relaxed with PBEsol (meta-GGA SCAN, the Alexandria database).

Its symmetry is Pm-3m, No. 221. As for the calculated volume: 32.117 Å³ per atom. For the density of states at the Fermi level, the calculation gives 2.60 states/eV per cell. The total moment is 4.8 μB per formula unit. The calculation puts the energy relative to the elements at 0.90 eV/atom.

a = 5.435 Å, b = 5.435 Å, c = 5.435 Å
α = 90.00°, β = 90.00°, γ = 90.00°
Fractional positions:
Cr (0.000, 0.000, 0.000)
Sn (0.000, 0.500, 0.500)
Sn (0.500, 0.000, 0.500)
Sn (0.500, 0.500, 0.000)
Hg (0.500, 0.500, 0.500)



Record 2
# SiNi6Ir

A crystal of SiNi6Ir relaxed with PBEsol (meta-GGA SCAN, the Alexandria database).

Its symmetry is Cmmm, No. 65. As for the calculated volume: 10.871 Å³ per atom. For the density of states at the Fermi level, the calculation gives 36.92 states/eV per cell. The total moment is 0.0 μB per formula unit. The energy relative to the elements, uncorrected comes out at -0.167 eV per atom.

a = 6.091 Å, b = 6.091 Å, c = 9.949 Å
α = 90.00°, β = 90.00°, γ = 109.53°
Fractional positions:
Si (0.000, 0.000, 0.247)
Si (0.000, 0.000, 0.753)
Si (0.252, 0.748, 0.000)
Si (0.748, 0.252, 0.000)
Ni (0.000, 0.000, 0.000)
Ni (0.000, 0.000, 0.500)
Ni (0.120, 0.368, 0.370)
Ni (0.120, 0.368, 0.630)
Ni (0.121, 0.373, 0.121)
Ni (0.121, 0.373, 0.879)
Ni (0.247, 0.753, 0.243)
Ni (0.247, 0.753, 0.757)
Ni (0.368, 0.120, 0.370)
Ni (0.368, 0.120, 0.630)
Ni (0.373, 0.121, 0.121)
Ni (0.373, 0.121, 0.879)
Ni (0.500, 0.500, 0.000)
Ni (0.500, 0.500, 0.500)
Ni (0.627, 0.879, 0.121)
Ni (0.627, 0.879, 0.879)
Ni (0.632, 0.880, 0.370)
Ni (0.632, 0.880, 0.630)
Ni (0.753, 0.247, 0.243)
Ni (0.753, 0.247, 0.757)
Ni (0.879, 0.627, 0.121)
Ni (0.879, 0.627, 0.879)
Ni (0.880, 0.632, 0.370)
Ni (0.880, 0.632, 0.630)
Ir (0.251, 0.749, 0.500)
Ir (0.500, 0.500, 0.250)
Ir (0.500, 0.500, 0.750)
Ir (0.749, 0.251, 0.500)



Record 3
# Mn4Fe

A crystal of Mn4Fe relaxed with PBEsol (meta-GGA SCAN, the Alexandria database).

Its symmetry is I4/m, No. 87. As for the calculated volume: 10.203 Å³ per atom. For the density of states at the Fermi level, the calculation gives 11.71 states/eV per cell. The total moment is 1.9 μB per formula unit. The calculation puts the energy relative to the elements at 0.21 eV/atom.

a = 5.446 Å, b = 5.446 Å, c = 3.440 Å
α = 90.00°, β = 90.00°, γ = 90.00°
Fractional positions:
Mn (0.104, 0.298, 0.000)
Mn (0.202, 0.604, 0.500)
Mn (0.298, 0.896, 0.000)
Mn (0.396, 0.202, 0.500)
Mn (0.604, 0.798, 0.500)
Mn (0.702, 0.104, 0.000)
Mn (0.798, 0.396, 0.500)
Mn (0.896, 0.702, 0.000)
Fe (0.000, 0.000, 0.500)
Fe (0.500, 0.500, 0.000)



Record 4
# Sr2YAlCu2O7

A crystal of Sr2YAlCu2O7 relaxed with PBEsol (meta-GGA SCAN, the Alexandria database).

Its symmetry is Ima2, No. 46. As for the calculated volume: 12.558 Å³ per atom. For the density of states at the Fermi level, the calculation gives 3.01 states/eV per cell. The total moment is 0.0 μB per formula unit. The energy relative to the elements, uncorrected comes out at -2.615 eV per atom.

a = 11.870 Å, b = 11.870 Å, c = 11.870 Å
α = 37.46°, β = 153.41°, γ = 154.10°
Fractional positions:
Sr (0.017, 0.152, 0.170)
Sr (0.017, 0.348, 0.365)
Sr (0.983, 0.652, 0.635)
Sr (0.983, 0.848, 0.830)
Y (0.998, 0.498, 0.500)
Y (0.998, 0.998, 0.000)
Al (0.461, 0.785, 0.176)
Al (0.608, 0.285, 0.824)
Cu (0.496, 0.570, 0.073)
Cu (0.496, 0.924, 0.426)
Cu (0.498, 0.070, 0.574)
Cu (0.498, 0.424, 0.927)
O (0.007, 0.615, 0.892)
O (0.424, 0.154, 0.628)
O (0.424, 0.295, 0.770)
O (0.493, 0.180, 0.183)
O (0.493, 0.810, 0.814)
O (0.503, 0.312, 0.315)
O (0.503, 0.687, 0.691)
O (0.525, 0.654, 0.230)
O (0.525, 0.795, 0.372)
O (0.723, 0.115, 0.108)
O (0.997, 0.187, 0.685)
O (0.997, 0.310, 0.817)
O (0.997, 0.680, 0.186)
O (0.997, 0.812, 0.309)



Record 5
# LaBe3Br

A crystal of LaBe3Br relaxed with PBEsol (meta-GGA SCAN, the Alexandria database).

Its offset from the most stable computed form is 0.6995 eV per atom. Its symmetry is Pm-3m, No. 221. As for the calculated volume: 33.407 Å³ per atom. For the density of states at the Fermi level, the calculation gives 4.31 states/eV per cell. The total moment is 0.0 μB per formula unit. The energy relative to the elements, uncorrected comes out at 1.760 eV per atom.

a = 5.507 Å, b = 5.507 Å, c = 5.507 Å
α = 90.00°, β = 90.00°, γ = 90.00°
Fractional positions:
La (0.000, 0.000, 0.000)
Be (0.000, 0.000, 0.500)
Be (0.000, 0.500, 0.000)
Be (0.500, 0.000, 0.000)
Br (0.500, 0.500, 0.500)



Record 6
# MnPdSCl2

A crystal of MnPdSCl2 relaxed with PBEsol (meta-GGA SCAN, the Alexandria database).

Its symmetry is P4/mmm, No. 123. As for the calculated volume: 19.153 Å³ per atom. For the density of states at the Fermi level, the calculation gives 2.47 states/eV per cell. The total moment is 3.0 μB per formula unit. The energy relative to the elements, uncorrected comes out at -0.235 eV per atom.

a = 4.530 Å, b = 4.530 Å, c = 4.668 Å
α = 90.00°, β = 90.00°, γ = 90.00°
Fractional positions:
Mn (0.000, 0.000, 0.000)
Pd (0.500, 0.500, 0.500)
S (0.000, 0.000, 0.500)
Cl (0.000, 0.500, 0.000)
Cl (0.500, 0.000, 0.000)



Record 7
# Ba5Ca2Ta3O15

A crystal of Ba5Ca2Ta3O15 relaxed with PBEsol (meta-GGA SCAN, the Alexandria database).

Its symmetry is I4/m, No. 87. As for the calculated volume: 14.868 Å³ per atom. For the density of states at the Fermi level, the calculation gives 22.28 states/eV per cell. The total moment is 1.1 μB per formula unit. The energy relative to the elements, uncorrected comes out at -3.201 eV per atom.

a = 10.301 Å, b = 10.301 Å, c = 10.301 Å
α = 99.57°, β = 99.57°, γ = 131.86°
Fractional positions:
Ba (0.047, 0.349, 0.902)
Ba (0.145, 0.047, 0.698)
Ba (0.250, 0.750, 0.500)
Ba (0.349, 0.447, 0.302)
Ba (0.447, 0.145, 0.098)
Ba (0.553, 0.855, 0.902)
Ba (0.651, 0.553, 0.698)
Ba (0.750, 0.250, 0.500)
Ba (0.855, 0.953, 0.302)
Ba (0.953, 0.651, 0.098)
Ca (0.202, 0.401, 0.603)
Ca (0.401, 0.798, 0.199)
Ca (0.599, 0.202, 0.801)
Ca (0.798, 0.599, 0.397)
Ta (0.000, 0.000, 0.000)
Ta (0.097, 0.698, 0.795)
Ta (0.302, 0.097, 0.400)
Ta (0.500, 0.500, 0.000)
Ta (0.698, 0.903, 0.600)
Ta (0.903, 0.302, 0.205)
O (0.049, 0.326, 0.375)
O (0.057, 0.861, 0.918)
O (0.057, 0.863, 0.386)
O (0.126, 0.557, 0.683)
O (0.137, 0.523, 0.195)
O (0.139, 0.057, 0.195)
O (0.240, 0.739, 0.979)
O (0.247, 0.247, 0.000)
O (0.261, 0.240, 0.502)
O (0.326, 0.951, 0.277)
O (0.328, 0.943, 0.805)
O (0.355, 0.477, 0.832)
O (0.443, 0.126, 0.569)
O (0.477, 0.645, 0.122)
O (0.477, 0.672, 0.614)
O (0.523, 0.328, 0.386)
O (0.523, 0.355, 0.878)
O (0.557, 0.874, 0.431)
O (0.645, 0.523, 0.168)
O (0.672, 0.057, 0.195)
O (0.674, 0.049, 0.723)
O (0.739, 0.760, 0.498)
O (0.753, 0.753, 0.000)
O (0.760, 0.261, 0.021)
O (0.861, 0.943, 0.805)
O (0.863, 0.477, 0.805)
O (0.874, 0.443, 0.317)
O (0.943, 0.137, 0.614)
O (0.943, 0.139, 0.082)
O (0.951, 0.674, 0.625)



Record 8
# Mg5TiB2O10

A crystal of Mg5TiB2O10 relaxed with PBEsol (meta-GGA SCAN, the Alexandria database).

Its symmetry is Pmc2_1, No. 26. As for the calculated volume: 9.627 Å³ per atom. The total moment is 0.0 μB per formula unit. The energy relative to the elements, uncorrected comes out at -2.971 eV per atom.

a = 3.013 Å, b = 9.301 Å, c = 12.366 Å
α = 90.00°, β = 90.00°, γ = 90.00°
Fractional positions:
Mg (0.000, 0.018, 0.000)
Mg (0.000, 0.231, 0.387)
Mg (0.000, 0.769, 0.887)
Mg (0.000, 0.982, 0.500)
Mg (0.500, 0.235, 0.163)
Mg (0.500, 0.237, 0.596)
Mg (0.500, 0.239, 0.886)
Mg (0.500, 0.761, 0.386)
Mg (0.500, 0.763, 0.096)
Mg (0.500, 0.765, 0.663)
Ti (0.000, 0.492, 0.766)
Ti (0.000, 0.508, 0.266)
B (0.000, 0.028, 0.742)
B (0.000, 0.484, 0.022)
B (0.000, 0.516, 0.522)
B (0.000, 0.972, 0.242)
O (0.000, 0.102, 0.646)
O (0.000, 0.106, 0.837)
O (0.000, 0.123, 0.241)
O (0.000, 0.370, 0.525)
O (0.000, 0.409, 0.121)
O (0.000, 0.411, 0.922)
O (0.000, 0.589, 0.422)
O (0.000, 0.591, 0.621)
O (0.000, 0.630, 0.025)
O (0.000, 0.877, 0.741)
O (0.000, 0.894, 0.337)
O (0.000, 0.898, 0.146)
O (0.500, 0.133, 0.456)
O (0.500, 0.153, 0.025)
O (0.500, 0.366, 0.738)
O (0.500, 0.374, 0.303)
O (0.500, 0.626, 0.803)
O (0.500, 0.634, 0.238)
O (0.500, 0.847, 0.525)
O (0.500, 0.867, 0.956)